# 1
Compound: Si2HgTeC
Source: the Alexandria database
Functional: PBE-GGA
Structure: relaxed

```
Si2HgTeC
1.0
-4.871 -0.903 -2.139
2.378 -0.794 -5.079
0.510 -5.266 1.062
C Si Te Hg
1 2 1 1
Direct
0.500 0.500 0.500
0.000 0.000 0.500
0.500 0.000 0.000
0.000 0.000 0.000
0.000 0.500 0.000
```

M_tot	1.120	μB/cell
formation energy without anion corrections	2.400	eV/atom
energy	-0.0846	Ha/atom

---

# 2
Compound: Tm4SiHgC
Source: the Alexandria database
Functional: PBE-GGA
Structure: relaxed

```
Tm4SiHgC
1.0
6.730 0.000 0.000
0.000 6.703 0.000
-3.365 0.000 7.225
Tm Si Hg C
8 2 2 2
Direct
0.917 0.250 0.833
0.421 0.750 0.841
0.083 0.750 0.167
0.579 0.250 0.159
0.500 0.500 0.500
0.000 0.000 0.500
0.500 0.000 0.500
0.000 0.500 0.500
0.624 0.750 0.248
0.376 0.250 0.752
0.115 0.250 0.230
0.885 0.750 0.770
0.252 0.750 0.504
0.748 0.250 0.496
```

M_tot	0.000	μB/cell
formation energy without anion corrections	-0.466	eV/atom
energy	-0.1895	Ha/atom

---

# 3
Compound: SmHgC
Source: the Alexandria database
Functional: PBE-GGA
Structure: relaxed

```
SmHgC
1.0
-1.428 1.535 3.114
-3.321 -1.510 1.510
7.877 -5.634 4.197
Hg Sm C
2 2 2
Direct
0.669 0.148 0.322
0.931 0.399 0.116
0.385 0.950 0.558
0.565 0.903 0.882
0.713 0.398 0.668
0.875 0.155 0.754
```

M_tot	0.000	μB/cell
formation energy from the elements	-157	meV/atom
energy	-0.1803	Ha/atom